Below is an optimized crystal structure of CsNiSe2Br, with properties calculated at the PBE level.

Unit cell a=4.806 b=4.806 c=6.050 alpha=90.00 beta=90.00 gamma=90.00
Each line ends with the local moment (μB).
Atoms (fractional coordinates):
Cs (0.500, 0.500, 0.500)  0.01
Ni (0.000, 0.000, 0.000)  0.80
Se (0.000, 0.500, 0.000)  0.32
Se (0.500, 0.000, 0.000)  0.32
Br (0.000, 0.000, 0.500)  0.13

- Magnetization: 2.0 μB/f.u.
- Space-group type: P4/mmm, No. 123
- Uncorrected formation energy: -8.757 kcal/mol of atoms
- Energy above the most stable polymorph in this dataset: 0.000 kcal/mol of atoms



Below is an optimized crystal structure of Ta4NbIr, with properties calculated at the PBE level.

Unit cell a=4.424 b=4.424 c=6.325 alpha=90.00 beta=90.00 gamma=90.03
Atoms (fractional coordinates):
Ta (0.000, 0.500, 0.247)
Ta (0.000, 0.500, 0.753)
Ta (0.500, 0.000, 0.753)
Ta (0.500, 0.000, 0.247)
Nb (0.500, 0.500, 0.500)
Ir (0.000, 0.000, 0.000)

- Magnetization: 0.0 μB/f.u.
- Space-group type: P4/mmm, No. 123
- ΔH_f (0 K): 0.418 eV per atom



Below is an optimized crystal structure of Y2HfTh, with properties calculated at the PBE level.

Unit cell a=3.436 b=3.436 c=11.658 alpha=81.53 beta=81.53 gamma=60.00
Atoms (fractional coordinates):
Y (0.077, 0.077, 0.770)
Y (0.256, 0.256, 0.231)
Hf (0.666, 0.666, 0.001)
Th (0.501, 0.501, 0.498)

- Magnetization: 0.0 μB/f.u.
- Space-group type: R3m, No. 160
- Energy above the most stable polymorph in this dataset: 0.464 kcal/mol of atoms
- ΔH_f (0 K): 0.152 eV per atom



Below is an optimized crystal structure of Pb2AuF, with properties calculated at the PBE level.

Unit cell a=4.967 b=4.967 c=4.967 alpha=60.00 beta=60.00 gamma=60.00
Atoms (fractional coordinates):
Pb (0.250, 0.250, 0.250)
Pb (0.750, 0.750, 0.750)
Au (0.500, 0.500, 0.500)
F (0.000, 0.000, 0.000)

- Magnetization: 0.0 μB/f.u.
- Space-group type: Fm-3m, No. 225
- Uncorrected formation energy: -16.161 kcal/mol of atoms
- Energy above the most stable polymorph in this dataset: 0.206 kcal/mol of atoms



Below is an optimized crystal structure of K2RbNpBr6, with properties calculated at the PBE level.

Unit cell a=7.991 b=8.597 c=11.722 alpha=90.00 beta=90.61 gamma=90.00
Each line ends with the local moment (μB).
Atoms (fractional coordinates):
K (0.034, 0.917, 0.248)  0.00
K (0.534, 0.583, 0.748)  0.00
K (0.966, 0.083, 0.752)  0.00
K (0.466, 0.417, 0.252)  0.00
Rb (0.500, 0.000, 0.000)  0.00
Rb (0.000, 0.500, 0.500)  0.00
Np (0.500, 0.000, 0.500)  3.98
Np (0.000, 0.500, 0.000)  3.98
Br (0.288, 0.678, 0.075)  -0.01
Br (0.788, 0.822, 0.575)  -0.01
Br (0.712, 0.322, 0.925)  -0.01
Br (0.212, 0.178, 0.425)  -0.01
Br (0.341, 0.715, 0.421)  -0.01
Br (0.841, 0.785, 0.921)  -0.01
Br (0.659, 0.285, 0.579)  -0.01
Br (0.159, 0.215, 0.079)  -0.01
Br (0.855, 0.563, 0.223)  -0.01
Br (0.355, 0.937, 0.723)  -0.01
Br (0.145, 0.437, 0.777)  -0.01
Br (0.645, 0.063, 0.277)  -0.01

- Magnetization: 4.0 μB/f.u.
- Space-group type: P2_1/c, No. 14
- Uncorrected formation energy: -36.861 kcal/mol of atoms



Below is an optimized crystal structure of TlVFeCl6, with properties calculated at the PBE level.

Unit cell a=6.179 b=6.178 c=7.176 alpha=89.99 beta=89.99 gamma=60.00
Each line ends with the local moment (μB).
Atoms (fractional coordinates):
Tl (0.000, 0.000, 0.000)  0.00
V (0.667, 0.667, 0.500)  2.14
Fe (0.333, 0.333, 0.500)  -0.32
Cl (0.013, 0.365, 0.315)  -0.02
Cl (0.365, 0.013, 0.685)  -0.02
Cl (0.622, 0.365, 0.685)  -0.02
Cl (0.013, 0.622, 0.685)  -0.02
Cl (0.365, 0.622, 0.315)  -0.02
Cl (0.622, 0.013, 0.315)  -0.02

- Magnetization: 2.0 μB/f.u.
- Space-group type: P312, No. 149
- Uncorrected formation energy: -21.015 kcal/mol of atoms